Density functional theory data (GGA-PBE) for a relaxed structure of LiMnTl2.

Summary:
The total magnetization is 3.939 μB/cell. As for the relative energy among the computed polymorphs: 0 meV/atom. Its space group is Fm-3m (225). The total energy is -3.833 eV per atom. For the calculated formation energy, the calculation gives 121 meV per atom.

```
LiMnTl2
1.0
3.426 -3.279 1.160
2.100 0.118 4.406
-0.974 -3.498 3.263
Mn Tl Li
1 2 1
Cartesian
2.276 -3.329 4.415
1.138 -1.665 2.207
3.415 -4.994 6.622
0.000 0.000 0.000
```